The following is a GGA-PBE calculation of crystalline Hf2TaTiO at its relaxed geometry, from Alexandria.

## Properties
N(E_F): 0.8439 states/eV/atom
Uncorrected formation energy: -1.026 eV/atom
Theoretical density: 12.1 g/cm3

Lattice parameters (Å, degrees): 4.490 4.490 4.110 90.00 90.00 90.00
Space group P4/mmm (No. 123)
Unique sites:
Hf (0.000, 0.500, 0.000)
Ta (0.000, 0.000, 0.500)
Ti (0.500, 0.500, 0.500)
O (0.500, 0.500, 0.000)